# 1
DFT (PBE-GGA) results for an optimized crystal structure of BC.

a b c (Å): 13.0688 13.0688 13.0688
angles (deg): 11.67 11.67 11.67
Fractional coordinates of all 10 atoms:
B1 0.0000 0.0000 0.0000
B2 0.0655 0.0655 0.0655
B3 0.2300 0.2300 0.2300
B4 0.4935 0.4935 0.4935
B5 0.8711 0.8711 0.8711
C1 0.2705 0.2705 0.2705
C2 0.3988 0.3988 0.3988
C3 0.6173 0.6173 0.6173
C4 0.6582 0.6582 0.6582
C5 0.8306 0.8306 0.8306

Computed properties:
E_tot ... -75.9 eV/cell
SG ... R3m (160)
Excess energy over the best structure of this formula in the dataset ... 211 meV/atom
Crystal system ... trigonal

***

# 2
DFT (PBE-GGA) results for an optimized crystal structure of B3C7.

a b c (Å): 10.1284 10.1284 10.1284
angles (deg): 165.78 165.78 20.16
Fractional coordinates of all 10 atoms:
B1 0.0000 0.0000 0.0000
B2 0.1514 0.6514 0.5000
B3 0.3486 0.8486 0.5000
C1 0.2054 0.2054 0.0000
C2 0.4036 0.4036 0.0000
C3 0.5550 0.0550 0.5000
C4 0.5964 0.5964 0.0000
C5 0.7500 0.2500 0.5000
C6 0.7946 0.7946 0.0000
C7 0.9450 0.4450 0.5000

Computed properties:
E_tot ... -81.9 eV/cell
SG ... I-4m2 (119)
Excess energy over the best structure of this formula in the dataset ... 8 meV/atom
Crystal system ... tetragonal

***

It is found that the volume values, taken in the order of the records, are 7.9 6.3 A^3/atom.
It is found that the E_form values, taken in the order of the records, are 70 261 kJ/mol of formula units.